SrHgOs2: optimized geometry, PBE.

Lattice parameters (Å, degrees): 4.4193 4.4193 10.5000 77.85 77.85 90.00
Fractional positions:
Os (0.7603, 0.1250, 0.2500)
Os (0.9897, 0.6250, 0.2500)
Os (0.3750, 0.2397, 0.7500)
Os (0.8750, 0.0103, 0.7500)
Sr (0.2500, 0.7500, 0.5000)
Sr (0.5000, 0.5000, 0.0000)
Hg (0.0000, 0.0000, 0.0000)
Hg (0.7500, 0.2500, 0.5000)

## Properties
Calculated volume   24.47 A^3/atom
Formation enthalpy at 0 K   796 meV per atom
Uncorrected energy   -0.391 Ry per atom